PmY2Cu | PBE | relaxed

Calculated values
* polymorph energy (0 for the lowest one): 0 kJ/mol of formula units
* density: 5.74 g cm⁻³

```
data_PmY2Cu
_chemical_formula_sum 'Pm4 Y8 Cu4'
_space_group_name_H-M_alt 'P n m a'
_space_group_IT_number 62
_cell_length_a 6.8792
_cell_length_b 9.9253
_cell_length_c 6.5486
_cell_angle_alpha 90.00
_cell_angle_beta 90.00
_cell_angle_gamma 90.00
loop_
_space_group_symop_operation_xyz
'x,y,z'
'-x,-y,-z'
'-x+1/2,-y,z+1/2'
'x+1/2,y,-z+1/2'
'x+1/2,-y+1/2,-z+1/2'
'-x+1/2,y+1/2,z+1/2'
'-x,y+1/2,-z'
'x,-y+1/2,z'
loop_
_atom_site_label
_atom_site_type_symbol
_atom_site_fract_x
_atom_site_fract_y
_atom_site_fract_z
_atom_site_occupancy
Pm1 Pm 0.0114 0.2500 0.1369 1
Y1 Y 0.1830 0.0589 0.6802 1
Cu1 Cu 0.1058 0.7500 0.4364 1
```

---

ZrBe2Pt | PBE | relaxed

Calculated values
* polymorph energy (0 for the lowest one): 78 kJ/mol of formula units
* density: 8.83 g cm⁻³

```
data_ZrBe2Pt
_chemical_formula_sum 'Zr4 Be8 Pt4'
_space_group_name_H-M_alt 'F 2 2 2'
_space_group_IT_number 22
_space_group_name_Hall 'F 2 2'
_cell_length_a 6.1014
_cell_length_b 6.1118
_cell_length_c 6.1378
_cell_angle_alpha 90.00
_cell_angle_beta 90.00
_cell_angle_gamma 90.00
loop_
_atom_site_label
_atom_site_type_symbol
_atom_site_fract_x
_atom_site_fract_y
_atom_site_fract_z
_atom_site_occupancy
Zr1 Zr 0.0000 0.0000 0.0000 1
Be1 Be 0.0000 0.0000 0.5000 1
Be2 Be 0.2500 0.2500 0.2500 1
Pt1 Pt 0.2500 0.2500 0.7500 1
```

---

Number 1: formation energy from the elements -0.38 eV/f.u., size of the total moment 0.000 μB per cell. Number 2: formation energy from the elements -1.58 eV/f.u., size of the total moment 0.000 μB per cell.